No. 1
Ta2SbSeO | PBE | relaxed

Properties
- uncorrected energy (eV/atom) = -5.055
- space group = No. 123

Lattice parameters (Å, degrees): 5.1733 5.1271 5.1733 90.00 90.00 90.00
Last column: nearest neighbours and their distance in Å.
Sites, in units of the cell vectors:
1 Se 0.0000 0.5000 0.0000  2 Sb 2.56
2 O 0.5000 0.5000 0.5000  8 Ta 3.64, 4 Se 3.66
3 Ta 0.0000 0.0000 0.5000  2 Sb 2.59
4 Ta 0.5000 0.0000 0.0000  2 Sb 2.59
5 Sb 0.0000 0.0000 0.0000  2 Se 2.56, 4 Ta 2.59


No. 2
BaCaSe2 | PBE | relaxed

Properties
- uncorrected energy (eV/atom) = -4.447
- space group = No. 71

Lattice parameters (Å, degrees): 5.5346 5.5347 5.5353 126.66 114.00 89.78
Last column: nearest neighbours and their distance in Å.
Sites, in units of the cell vectors:
1 Se 0.0185 0.0185 0.0000  2 Ca 3.08, 2 Ba 3.26
2 Se 0.4815 0.4815 0.0000  2 Ca 3.08, 2 Ba 3.26
3 Ba 0.7500 0.2500 0.5000  8 Se 3.26-3.52
4 Ca 0.2500 0.7500 0.5000  4 Se 3.08


Number 1: formation energy from raw total energies 2.20 eV/atom. Number 2: formation energy from raw total energies -1.72 eV/atom.